The following is a DFT calculation (GGA-PBEsol) of crystalline In2MoAu at its relaxed geometry. Values from VASP.

Summary:
Total magnetization ... 0.0 μB/f.u.
D(E_F) ... 1.9 states/eV/f.u.
Energy relative to the lowest polymorph listed for this composition ... 2 kJ/mol of formula units
SG ... Cmmm, No. 65

```
&SYSTEM
  ibrav = 0, nat = 4, ntyp = 3
/
ATOMIC_SPECIES
In 114.82 In.upf
Mo 95.94 Mo.upf
Au 196.97 Au.upf
CELL_PARAMETERS angstrom
3.0392 -4.0075 0.0000
3.0392 4.0075 0.0000
0.0000 0.0000 2.9945
ATOMIC_POSITIONS crystal
In 0.0000 0.5000 0.0000
In 0.5000 0.0000 0.0000
Mo 0.0000 0.0000 0.5000
Au 0.5000 0.5000 0.5000
```